The following is a DFT calculation (GGA-PBE) of a relaxed Zn2PtPb crystal.

Output
SG   F-43m (216)
Uncorrected energy   -3.0085 eV per atom

a b c (Å): 4.7418 4.7418 4.7418
angles (deg): 60.00 60.00 60.00
Closest atoms and distances in Å follow each position.
Fractional positions:
Zn 0.0000 0.0000 0.0000  4 Zn 2.90, 4 Pt 2.90
Pb 0.5000 0.5000 0.5000  4 Pt 2.90, 4 Zn 2.90
Pt 0.2500 0.2500 0.2500  4 Pb 2.90, 4 Zn 2.90
Zn 0.7500 0.7500 0.7500  4 Pb 2.90, 4 Zn 2.90

The following is a DFT calculation (GGA-PBE) of a relaxed TbTm2Cu4Ge4 crystal.

Output
SG   Immm (71)
Uncorrected energy   -4.8954 eV per atom

a b c (Å): 7.9786 7.9786 7.9786
angles (deg): 149.69 130.54 59.12
Closest atoms and distances in Å follow each position.
Fractional positions:
Cu 0.6397 0.3305 0.3091  4 Ge 2.48-2.59, 1 Cu 2.55
Cu 0.9786 0.6695 0.3091  4 Ge 2.48-2.59, 1 Cu 2.55
Ge 0.2174 0.2174 0.0000  6 Cu 2.53-2.59
Ge 0.7826 0.7826 0.0000  6 Cu 2.53-2.59
Tm 0.3703 0.8703 0.5000  6 Ge 2.98-3.03, 6 Cu 2.99-3.07
Tb 0.0000 0.0000 0.0000  6 Ge 2.94-3.02
Ge 0.3095 0.5000 0.8095  2 Cu 2.48, 1 Ge 2.54
Cu 0.0214 0.3305 0.6909  4 Ge 2.48-2.59, 1 Cu 2.55
Ge 0.6905 0.5000 0.1905  2 Cu 2.48, 1 Ge 2.54
Tm 0.6297 0.1297 0.5000  6 Ge 2.98-3.03, 6 Cu 2.99-3.07
Cu 0.3603 0.6695 0.6909  4 Ge 2.48-2.59, 1 Cu 2.55

The following is a DFT calculation (GGA-PBE) of a relaxed LuMg2 crystal.

Output
SG   Cmcm (63)
Uncorrected energy   -2.5166 eV per atom

a b c (Å): 5.8398 9.6821 5.3502
angles (deg): 90.00 90.00 90.00
Closest atoms and distances in Å follow each position.
Fractional positions:
Mg 0.8267 0.8336 0.5000  7 Mg 3.22-3.34, 5 Lu 3.23-3.37
Mg 0.0067 0.6664 0.0000  7 Mg 3.22-3.34, 5 Lu 3.23-3.37
Lu 0.3332 0.0000 0.5000  10 Mg 3.23-3.37, 2 Lu 3.31
Mg 0.8267 0.1664 0.5000  7 Mg 3.22-3.34, 5 Lu 3.23-3.37
Lu 0.8332 0.5000 0.5000  10 Mg 3.23-3.37, 2 Lu 3.31
Mg 0.5067 0.1664 0.0000  7 Mg 3.22-3.34, 5 Lu 3.23-3.37
Lu 0.5001 0.5000 0.0000  10 Mg 3.23-3.37, 2 Lu 3.31
Mg 0.3267 0.6664 0.5000  7 Mg 3.22-3.34, 5 Lu 3.23-3.37
Lu 0.0000 0.0000 0.0000  10 Mg 3.23-3.37, 2 Lu 3.31
Mg 0.5067 0.8336 0.0000  7 Mg 3.22-3.34, 5 Lu 3.23-3.37
Mg 0.0067 0.3336 0.0000  7 Mg 3.22-3.34, 5 Lu 3.23-3.37
Mg 0.3267 0.3336 0.5000  7 Mg 3.22-3.34, 5 Lu 3.23-3.37